Record 1
The following is a DFT calculation (PBE) of crystalline ScAlTc2B at its relaxed geometry.

Computed properties:
DFT formation energy, meV per atom: 940.0
Energy above the most stable polymorph in this dataset, eV per formula unit: 0.00

Cell and atoms, written as CIF:
```
data_ScAlTc2B
_symmetry_space_group_name_H-M 'P 4/m m m'
_symmetry_Int_Tables_number 123
_symmetry_space_group_name_Hall '-P 4 2'
_cell_length_a 4.578
_cell_length_b 4.578
_cell_length_c 3.850
_cell_angle_alpha 90.00
_cell_angle_beta 90.00
_cell_angle_gamma 90.00
loop_
_atom_site_label
_atom_site_type_symbol
_atom_site_fract_x
_atom_site_fract_y
_atom_site_fract_z
_atom_site_occupancy
Sc1 Sc 0.000 0.000 0.000 1
Al1 Al 0.500 0.500 0.500 1
Tc1 Tc 0.000 0.500 0.500 1
B1 B 0.500 0.500 0.000 1
```



Record 2
The following is a DFT calculation (PBE) of crystalline ScAlTc2B at its relaxed geometry.

Computed properties:
DFT formation energy, meV per atom: 1792.8
Energy above the most stable polymorph in this dataset, eV per formula unit: 4.26

Cell and atoms, written as CIF:
```
data_ScAlTc2B
_symmetry_space_group_name_H-M 'P 4/m m m'
_symmetry_Int_Tables_number 123
_symmetry_space_group_name_Hall '-P 4 2'
_cell_length_a 4.665
_cell_length_b 4.665
_cell_length_c 4.181
_cell_angle_alpha 90.00
_cell_angle_beta 90.00
_cell_angle_gamma 90.00
loop_
_atom_site_label
_atom_site_type_symbol
_atom_site_fract_x
_atom_site_fract_y
_atom_site_fract_z
_atom_site_occupancy
Sc1 Sc 0.000 0.000 0.000 1
Al1 Al 0.500 0.500 0.500 1
Tc1 Tc 0.000 0.500 0.000 1
B1 B 0.000 0.000 0.500 1
```



Record 3
The following is a DFT calculation (PBE) of crystalline ScAlTc2B at its relaxed geometry.

Computed properties:
DFT formation energy, meV per atom: 2396.2
Energy above the most stable polymorph in this dataset, eV per formula unit: 7.28

Cell and atoms, written as CIF:
```
data_ScAlTc2B
_symmetry_space_group_name_H-M 'P 4/m m m'
_symmetry_Int_Tables_number 123
_symmetry_space_group_name_Hall '-P 4 2'
_cell_length_a 4.578
_cell_length_b 4.578
_cell_length_c 4.993
_cell_angle_alpha 90.00
_cell_angle_beta 90.00
_cell_angle_gamma 90.00
loop_
_atom_site_label
_atom_site_type_symbol
_atom_site_fract_x
_atom_site_fract_y
_atom_site_fract_z
_atom_site_occupancy
Sc1 Sc 0.000 0.000 0.000 1
Al1 Al 0.000 0.000 0.500 1
Tc1 Tc 0.000 0.500 0.000 1
B1 B 0.500 0.500 0.500 1
```



Record 4
The following is a DFT calculation (PBE) of crystalline ScTiAlB2 at its relaxed geometry.

Computed properties:
DFT formation energy, meV per atom: 1483.0

Cell and atoms, written as CIF:
```
data_ScTiAlB2
_symmetry_space_group_name_H-M 'P 4/m m m'
_symmetry_Int_Tables_number 123
_symmetry_space_group_name_Hall '-P 4 2'
_cell_length_a 4.227
_cell_length_b 4.227
_cell_length_c 4.787
_cell_angle_alpha 90.00
_cell_angle_beta 90.00
_cell_angle_gamma 90.00
loop_
_atom_site_label
_atom_site_type_symbol
_atom_site_fract_x
_atom_site_fract_y
_atom_site_fract_z
_atom_site_occupancy
Sc1 Sc 0.000 0.000 0.000 1
Ti1 Ti 0.500 0.500 0.500 1
Al1 Al 0.000 0.000 0.500 1
B1 B 0.000 0.500 0.000 1
```



Record 5
The following is a DFT calculation (PBE) of crystalline Sc2AlTlB at its relaxed geometry.

Computed properties:
DFT formation energy, meV per atom: -314.3
Energy above the most stable polymorph in this dataset, eV per formula unit: 0.00

Cell and atoms, written as CIF:
```
data_Sc2AlTlB
_symmetry_space_group_name_H-M 'P 4/m m m'
_symmetry_Int_Tables_number 123
_symmetry_space_group_name_Hall '-P 4 2'
_cell_length_a 4.757
_cell_length_b 4.757
_cell_length_c 4.142
_cell_angle_alpha 90.00
_cell_angle_beta 90.00
_cell_angle_gamma 90.00
loop_
_atom_site_label
_atom_site_type_symbol
_atom_site_fract_x
_atom_site_fract_y
_atom_site_fract_z
_atom_site_occupancy
Sc1 Sc 0.000 0.500 0.000 1
Al1 Al 0.000 0.000 0.500 1
Tl1 Tl 0.500 0.500 0.500 1
B1 B 0.000 0.000 0.000 1
```



Record 6
The following is a DFT calculation (PBE) of crystalline Sc2AlTlB at its relaxed geometry.

Computed properties:
DFT formation energy, meV per atom: 1419.8
Energy above the most stable polymorph in this dataset, eV per formula unit: 8.67

Cell and atoms, written as CIF:
```
data_Sc2AlTlB
_symmetry_space_group_name_H-M 'P 4/m m m'
_symmetry_Int_Tables_number 123
_symmetry_space_group_name_Hall '-P 4 2'
_cell_length_a 5.366
_cell_length_b 5.366
_cell_length_c 4.834
_cell_angle_alpha 90.00
_cell_angle_beta 90.00
_cell_angle_gamma 90.00
loop_
_atom_site_label
_atom_site_type_symbol
_atom_site_fract_x
_atom_site_fract_y
_atom_site_fract_z
_atom_site_occupancy
Sc1 Sc 0.000 0.500 0.000 1
Al1 Al 0.000 0.000 0.500 1
Tl1 Tl 0.000 0.000 0.000 1
B1 B 0.500 0.500 0.500 1
```



Record 7
The following is a DFT calculation (PBE) of crystalline ScAlB2W at its relaxed geometry.

Computed properties:
DFT formation energy, meV per atom: 1802.2

Cell and atoms, written as CIF:
```
data_ScAlB2W
_symmetry_space_group_name_H-M 'P 4/m m m'
_symmetry_Int_Tables_number 123
_symmetry_space_group_name_Hall '-P 4 2'
_cell_length_a 4.041
_cell_length_b 4.041
_cell_length_c 4.732
_cell_angle_alpha 90.00
_cell_angle_beta 90.00
_cell_angle_gamma 90.00
loop_
_atom_site_label
_atom_site_type_symbol
_atom_site_fract_x
_atom_site_fract_y
_atom_site_fract_z
_atom_site_occupancy
Sc1 Sc 0.000 0.000 0.000 1
Al1 Al 0.000 0.000 0.500 1
B1 B 0.000 0.500 0.500 1
W1 W 0.500 0.500 0.000 1
```



Record 8
The following is a DFT calculation (PBE) of crystalline AlB2Se6 at its relaxed geometry.

Computed properties:
Energy relative to the elements, uncorrected, eV/f.u.: -1.321

Cell and atoms, written as CIF:
```
data_AlB2Se6
_symmetry_space_group_name_H-M 'C 1 2/c 1'
_symmetry_Int_Tables_number 15
_cell_length_a 12.874
_cell_length_b 9.959
_cell_length_c 6.413
_cell_angle_alpha 90.00
_cell_angle_beta 104.07
_cell_angle_gamma 90.00
loop_
_symmetry_equiv_pos_as_xyz
'x,y,z'
'-x,-y,-z'
'-x,y,-z+1/2'
'x,-y,z+1/2'
'x+1/2,y+1/2,z'
'-x+1/2,-y+1/2,-z'
'-x+1/2,y+1/2,-z+1/2'
'x+1/2,-y+1/2,z+1/2'
loop_
_atom_site_label
_atom_site_type_symbol
_atom_site_fract_x
_atom_site_fract_y
_atom_site_fract_z
_atom_site_occupancy
Al1 Al 0.000 0.101 0.250 1
B1 B 0.243 0.420 0.344 1
Se1 Se 0.098 0.102 0.633 1
Se2 Se 0.165 0.256 0.178 1
Se3 Se 0.185 0.426 0.631 1
```



Listing spin magnetization for the structures above in their given order: 0.11; 0.37; 0.43; 0.00; 0.00; 0.00; 0.20; 0.00 μB/atom.
Listing density for the structures above in their given order: 5.74; 5.09; 4.42; 2.75; 5.88; 3.96; 5.96; 4.35 g cm⁻³.